(1)
The following is a DFT calculation (PBE) of a geometry-optimized GdSi2 structure.

Crystal system: cubic
Raw formation energy, meV per atom: -361
Energy, eV per atom: -8.6703

Cell lengths 5.340, 5.340, 5.340 Å; angles 60.00, 60.00, 60.00 degrees
Site moments in Bohr magnetons follow the coordinates.
Sites, in units of the cell vectors:
Si  0.125  0.625  0.625  -0.05
Si  0.625  0.125  0.625  -0.05
Si  0.625  0.625  0.625  -0.05
Si  0.625  0.625  0.125  -0.05
Gd  0.000  0.000  0.000  7.01
Gd  0.250  0.250  0.250  7.01


(2)
The following is a DFT calculation (PBE) of a geometry-optimized CaCr4Br structure.

Crystal system: cubic
Raw formation energy, meV per atom: 919
Energy, eV per atom: -6.1091

Cell lengths 5.126, 5.126, 5.126 Å; angles 60.00, 60.00, 60.00 degrees
Sites, in units of the cell vectors:
Ca  0.000  0.000  0.000
Cr  0.859  0.380  0.380
Cr  0.380  0.380  0.859
Cr  0.380  0.859  0.380
Cr  0.380  0.380  0.380
Br  0.750  0.750  0.750